DFT (GGA+U) results for a geometry-optimized SrCdCo2F8 structure.

a = 5.068 Å, b = 5.129 Å, c = 6.868 Å
α = 89.93°, β = 89.93°, γ = 89.08°
Fractional positions:
1 Sr 0.000 0.000 0.500
2 Cd 0.000 0.000 0.000
3 Co 0.500 0.500 0.756
4 Co 0.500 0.500 0.244
5 F 0.217 0.779 0.237
6 F 0.681 0.683 0.000
7 F 0.783 0.220 0.237
8 F 0.783 0.221 0.763
9 F 0.319 0.317 0.000
10 F 0.217 0.780 0.763
11 F 0.669 0.672 0.500
12 F 0.331 0.328 0.500

E_tot in eV/atom: -4.865
V in Å³/cell: 178.5
Spin magnetization in μB per cell: 6.0